Entry from Alexandria: crystalline Sc4Pb5 at its relaxed geometry (GGA-PBE).

Distance to the lowest polymorph of the same formula = 0 meV per atom
SG = P6_3/mcm, No. 193

Unit cell a=9.1684 b=9.1684 c=6.2739 alpha=90.00 beta=90.00 gamma=120.00
With the nearest neighbours (Å) after each atom.
Atoms (fractional coordinates):
Pb 0.0000 0.7155 0.2500  7 Sc 3.04-3.27
Pb 0.2845 0.2845 0.2500  7 Sc 3.04-3.27
Pb 0.7155 0.0000 0.2500  7 Sc 3.04-3.27
Pb 0.0000 0.2845 0.7500  7 Sc 3.04-3.27
Pb 0.7155 0.7155 0.7500  7 Sc 3.04-3.27
Pb 0.2845 0.0000 0.7500  7 Sc 3.04-3.27
Pb 0.6667 0.3333 0.0000  2 Pb 3.14, 6 Sc 3.26
Pb 0.3333 0.6667 0.5000  2 Pb 3.14, 6 Sc 3.26
Pb 0.3333 0.6667 0.0000  2 Pb 3.14, 6 Sc 3.26
Pb 0.6667 0.3333 0.5000  2 Pb 3.14, 6 Sc 3.26
Sc 0.0000 0.0000 0.0000  6 Pb 3.04, 2 Sc 3.14
Sc 0.0000 0.0000 0.5000  6 Pb 3.04, 2 Sc 3.14
Sc 0.0000 0.3839 0.2500  9 Pb 3.04-3.27
Sc 0.6161 0.6161 0.2500  9 Pb 3.04-3.27
Sc 0.3839 0.0000 0.2500  9 Pb 3.04-3.27
Sc 0.0000 0.6161 0.7500  9 Pb 3.04-3.27
Sc 0.3839 0.3839 0.7500  9 Pb 3.04-3.27
Sc 0.6161 0.0000 0.7500  9 Pb 3.04-3.27